Entry a
A relaxed structure of Y3TiN. Source: Alexandria, functional PBE.

Output
Magnetic moment = 3.23 μB per formula unit
Calculated volume = 114.8 Å³ per cell
Fermi-level density of states = 4.952 states/eV/f.u.

Unit cell a=4.8603 b=4.8603 c=4.8603 alpha=90.00 beta=90.00 gamma=90.00
Closest atoms and distances in Å follow each position.
Positions (direct):
Y: 0.0000 0.0000 0.5000  2 N 2.43
Y: 0.0000 0.5000 0.0000  2 N 2.43
Y: 0.5000 0.0000 0.0000  2 N 2.43
Ti: 0.5000 0.5000 0.5000  12 Y 3.44
N: 0.0000 0.0000 0.0000  6 Y 2.43

Entry b
A relaxed structure of Y3TiN. Source: Alexandria, functional PBE.

Output
Magnetic moment = 0.00 μB per formula unit
Calculated volume = 141.1 Å³ per cell
Fermi-level density of states = 6.018 states/eV/f.u.

Unit cell a=5.2065 b=5.2065 c=5.2065 alpha=90.00 beta=90.00 gamma=90.00
Closest atoms and distances in Å follow each position.
Positions (direct):
Y: 0.0000 0.0000 0.5000  2 Ti 2.60
Y: 0.0000 0.5000 0.0000  2 Ti 2.60
Y: 0.5000 0.0000 0.0000  2 Ti 2.60
Ti: 0.0000 0.0000 0.0000  6 Y 2.60
N: 0.5000 0.5000 0.5000  12 Y 3.68

It is entry a that is the most stable of them.